A plane-wave DFT calculation with PBE-GGA was carried out for TaTc4Pt after structural relaxation.

Its crystal system is cubic. As for the formation energy: 0.011 eV per atom.

Cell: 7.236 7.236 7.236 Å, 90.00 90.00 90.00°
Space group F-43m (No. 216)
Symmetry-distinct sites (fractional):
Ta (0.000, 0.000, 0.000) (multiplicity 4)
Tc (0.123, 0.123, 0.623) (multiplicity 16)
Pt (0.250, 0.250, 0.250) (multiplicity 4)